La3PuSb4 | PBE | optimized geometry Values from VASP.

The structure in Quantum ESPRESSO input format:
```
&SYSTEM
  ibrav = 0, nat = 16, ntyp = 3
/
ATOMIC_SPECIES
Sb 121.76 Sb.upf
La 138.91 La.upf
Pu 244.00 Pu.upf
ATOMIC_POSITIONS crystal
Sb 0.495 0.247 0.371
Sb 0.999 0.760 0.880
Sb 0.501 0.240 0.880
Sb 0.005 0.753 0.371
Sb 0.499 0.760 0.120
Sb 0.995 0.247 0.629
Sb 0.505 0.753 0.629
Sb 0.001 0.240 0.120
La 0.750 0.500 0.626
La 0.250 0.500 0.374
La 0.750 0.500 0.125
La 0.750 0.000 0.375
La 0.250 0.500 0.875
La 0.250 0.000 0.625
Pu 0.750 0.000 0.875
Pu 0.250 0.000 0.125
CELL_PARAMETERS angstrom
-4.638 -4.994 4.058
0.330 -2.267 -7.589
7.285 -5.237 1.881
```

Output
DOS(E_F)   16.1 states/eV/f.u.
Space-group type   P2/c
ΔE_f (raw)   -25.146 kcal/mol of atoms